No. 1
Cd2SnPbO6, relaxed, DFT PBE; E_form (uncorrected) = -0.937 eV/atom; theoretical density = 6.8 g/cm³; Fermi-level density of states = 0.8 states/eV/cell; SG = P4mm (99)
1.0
5.219 0.000 0.000
0.000 5.496 0.000
0.000 0.000 5.496
Sn O Cd Pb
1 6 2 1
direct
0.584 0.000 0.000
0.737 0.245 0.755
0.737 0.245 0.245
0.737 0.755 0.755
0.737 0.755 0.245
0.172 0.500 0.500
0.207 0.000 0.000
0.987 0.000 0.500
0.987 0.500 0.000
0.565 0.500 0.500

No. 2
Be2POs, relaxed, DFT PBE; theoretical density = 9.0 g/cm³; energy of formation from the pure elements = 0.007 eV per atom; Fermi-level density of states = 1.6 states/eV/cell; SG = Cmmm (65)
1.0
-2.102 2.405 -2.465
-2.642 -2.902 3.816
-1.235 1.264 2.281
P Be Os
1 2 1
direct
0.500 0.000 0.500
0.000 0.000 0.000
0.000 0.500 0.500
0.500 0.500 0.000

No. 3
Li2TiBe2, relaxed, DFT PBE; theoretical density = 2.1 g/cm³; energy of formation from the pure elements = 0.367 eV per atom; Fermi-level density of states = 7.2 states/eV/cell; relative energy among the computed polymorphs = 101.8 meV/atom; SG = P4/mbm (127)
1.0
7.097 0.000 0.000
0.000 7.097 0.000
0.000 0.000 2.457
Be Li Ti
4 4 2
direct
0.383 0.883 0.000
0.117 0.383 0.000
0.883 0.617 0.000
0.617 0.117 0.000
0.674 0.826 0.500
0.826 0.326 0.500
0.174 0.674 0.500
0.326 0.174 0.500
0.500 0.500 0.000
0.000 0.000 0.000

No. 4
ZrBe2Cd, relaxed, DFT PBE; theoretical density = 5.6 g/cm³; energy of formation from the pure elements = 0.502 eV per atom; Fermi-level density of states = 2.5 states/eV/cell; SG = R-3m (166)
1.0
-1.380 2.020 -8.732
-1.621 -0.873 -8.880
-3.923 0.741 -8.142
Be Cd Zr
2 1 1
direct
0.998 0.998 0.998
0.502 0.502 0.502
0.250 0.250 0.250
0.750 0.750 0.750

No. 5
Eu2AsPd, relaxed, DFT PBE; theoretical density = 8.2 g/cm³; energy of formation from the pure elements = -0.874 eV per atom; Fermi-level density of states = 22.2 states/eV/cell; relative energy among the computed polymorphs = 0.0 meV/atom; SG = Fm-3m (225)
1.0
5.173 0.000 0.000
2.587 4.480 0.000
2.587 1.493 4.224
Eu Pd As
2 1 1
direct
0.250 0.250 0.250
0.750 0.750 0.750
0.000 0.000 0.000
0.500 0.500 0.500

No. 6
MgAlPb2, relaxed, DFT PBE; theoretical density = 7.5 g/cm³; energy of formation from the pure elements = 0.087 eV per atom; Fermi-level density of states = 1.5 states/eV/cell; relative energy among the computed polymorphs = 6.2 meV/atom; SG = Cm (8)
1.0
-1.810 -4.201 -3.836
1.374 -3.489 -4.646
1.636 -4.857 2.162
Al Pb Mg
1 2 1
direct
0.516 0.516 0.533
0.769 0.769 0.696
0.986 0.986 0.047
0.229 0.229 0.224

No. 7
Na2MnRhCl, relaxed, DFT PBE; E_form (uncorrected) = 0.352 eV/atom; theoretical density = 3.5 g/cm³; Fermi-level density of states = 2.1 states/eV/cell; SG = P4/mmm (123)
1.0
-2.096 4.318 -0.478
-4.409 -2.082 0.529
0.263 0.656 4.772
Rh Na Mn Cl
1 2 1 1
direct
0.500 0.500 0.500
0.500 0.000 0.000
0.000 0.000 0.500
0.000 0.500 0.000
0.000 0.000 0.000

No. 8
Rb2Tl2Hg, relaxed, DFT PBE; theoretical density = 6.2 g/cm³; energy of formation from the pure elements = -0.049 eV per atom; Fermi-level density of states = 5.3 states/eV/cell; relative energy among the computed polymorphs = 74.3 meV/atom; SG = P4/mbm (127)
1.0
8.237 0.000 0.000
0.000 8.237 0.000
0.000 0.000 6.153
Rb Tl Hg
4 4 2
direct
0.818 0.318 0.500
0.682 0.818 0.500
0.318 0.182 0.500
0.182 0.682 0.500
0.869 0.631 0.000
0.631 0.131 0.000
0.131 0.369 0.000
0.369 0.869 0.000
0.000 0.000 0.000
0.500 0.500 0.000

No. 9
Er6GeSe5, relaxed, DFT PBE; E_form (uncorrected) = -1.631 eV/atom; theoretical density = 8.6 g/cm³; Fermi-level density of states = 5.1 states/eV/cell; SG = C2/m (12)
1.0
6.964 0.156 1.051
1.698 5.892 3.433
0.114 0.068 7.018
Er Se Ge
6 5 1
direct
0.757 0.758 0.000
0.242 0.596 0.324
0.242 0.920 0.676
0.758 0.080 0.324
0.243 0.242 0.000
0.758 0.404 0.676
0.500 0.170 0.661
0.500 0.500 0.000
0.000 0.334 0.333
0.500 0.830 0.339
0.000 0.666 0.667
0.000 0.000 0.000

No. 10
LiTi2Rh, relaxed, DFT PBE; theoretical density = 5.7 g/cm³; energy of formation from the pure elements = -0.281 eV per atom; Fermi-level density of states = 3.1 states/eV/cell; SG = P4/mmm (123)
1.0
3.100 0.000 0.000
0.000 4.384 0.000
0.000 0.000 4.384
Rh Li Ti
1 1 2
direct
0.500 0.000 0.000
0.500 0.500 0.500
0.000 0.000 0.500
0.000 0.500 0.000

No. 11
SrCu2Pd2, relaxed, DFT PBE; theoretical density = 8.1 g/cm³; energy of formation from the pure elements = -0.170 eV per atom; Fermi-level density of states = 3.8 states/eV/cell; relative energy among the computed polymorphs = 100.8 meV/atom; SG = P4/mbm (127)
1.0
7.592 0.000 0.000
0.000 7.592 0.000
0.000 0.000 3.030
Sr Cu Pd
2 4 4
direct
0.500 0.500 0.000
0.000 0.000 0.000
0.841 0.341 0.500
0.659 0.841 0.500
0.159 0.659 0.500
0.341 0.159 0.500
0.367 0.867 0.000
0.867 0.633 0.000
0.133 0.367 0.000
0.633 0.133 0.000

No. 12
Ba2S2F, relaxed, DFT PBE; E_form (uncorrected) = -2.147 eV/atom; theoretical density = 4.3 g/cm³; Fermi-level density of states = 0.0 states/eV/cell; SG = P4/mbm (127)
1.0
-3.671 6.188 3.446
-6.590 -1.560 -4.217
-1.427 -2.631 3.204
F Ba S
2 4 4
direct
0.500 0.500 0.000
0.000 0.000 0.000
0.685 0.185 0.000
0.185 0.315 0.000
0.815 0.685 0.000
0.315 0.815 0.000
0.382 0.118 0.500
0.882 0.382 0.500
0.618 0.882 0.500
0.118 0.618 0.500

No. 13
PuUPtAu, relaxed, DFT PBE; theoretical density = 18.4 g/cm³; energy of formation from the pure elements = -0.530 eV per atom; Fermi-level density of states = 6.2 states/eV/cell; relative energy among the computed polymorphs = 0.0 meV/atom; SG = F-43m (216)
1.0
-2.762 3.209 2.294
-3.417 -1.503 3.042
0.527 0.679 4.739
U Pu Au Pt
1 1 1 1
direct
0.750 0.750 0.750
0.000 0.000 0.000
0.250 0.250 0.250
0.500 0.500 0.500

No. 14
La12Al4InN3, relaxed, DFT PBE; E_form (uncorrected) = -0.444 eV/atom; theoretical density = 5.4 g/cm³; Fermi-level density of states = 17.8 states/eV/cell; SG = Im-3m (229)
1.0
9.161 0.000 0.000
-3.054 8.637 0.000
-3.054 -4.319 7.480
La N Al In
12 3 4 1
direct
0.721 0.000 0.721
0.750 0.500 0.250
0.279 0.279 0.000
0.750 0.250 0.500
0.500 0.250 0.750
0.250 0.500 0.750
0.000 0.279 0.279
0.721 0.721 0.000
0.279 0.000 0.279
0.500 0.750 0.250
0.250 0.750 0.500
0.000 0.721 0.721
0.500 0.000 0.500
0.500 0.500 0.000
0.000 0.500 0.500
0.500 0.500 0.500
0.000 0.500 0.000
0.500 0.000 0.000
0.000 0.000 0.500
0.000 0.000 0.000

No. 15
ThHgRuRh, relaxed, DFT PBE; theoretical density = 13.5 g/cm³; energy of formation from the pure elements = -0.312 eV per atom; Fermi-level density of states = 3.5 states/eV/cell; SG = F-43m (216)
1.0
4.801 0.000 0.000
2.401 4.158 0.000
2.401 1.386 3.920
Ru Th Hg Rh
1 1 1 1
direct
0.750 0.750 0.750
0.500 0.500 0.500
0.000 0.000 0.000
0.250 0.250 0.250

No. 16
Mg2GeH, relaxed, DFT PBE; theoretical density = 3.1 g/cm³; Fermi-level density of states = 2.5 states/eV/cell; relative energy among the computed polymorphs = 300.0 meV/atom; SG = Fm-3m (225)
1.0
0.000 3.190 3.190
3.190 0.000 3.190
3.190 3.190 0.000
Mg H Ge
2 1 1
direct
0.250 0.250 0.250
0.750 0.750 0.750
0.000 0.000 0.000
0.500 0.500 0.500

No. 17
AcPr4Nd2, relaxed, DFT PBE; theoretical density = 6.9 g/cm³; energy of formation from the pure elements = 0.020 eV per atom; Fermi-level density of states = 10.3 states/eV/cell; relative energy among the computed polymorphs = 0.0 meV/atom; SG = R-3m (166)
1.0
-3.113 1.869 -0.966
-3.376 -1.537 0.598
-2.805 9.029 19.194
Pr Nd Ac
4 2 1
direct
0.143 0.143 0.571
0.284 0.284 0.148
0.857 0.857 0.429
0.716 0.716 0.852
0.570 0.570 0.289
0.430 0.430 0.711
0.000 0.000 0.000

No. 18
TaTiBe10, relaxed, DFT PBE; theoretical density = 4.7 g/cm³; energy of formation from the pure elements = -0.207 eV per atom; Fermi-level density of states = 3.0 states/eV/cell; SG = Pmmm (47)
1.0
3.372 0.000 0.000
0.000 4.402 0.000
0.000 0.000 7.628
Be Ta Ti
10 1 1
direct
0.500 0.754 0.753
0.500 0.246 0.753
0.000 0.500 0.832
0.500 0.000 0.500
0.500 0.754 0.247
0.500 0.500 0.000
0.000 0.500 0.168
0.000 0.000 0.665
0.500 0.246 0.247
0.000 0.000 0.335
0.000 0.000 0.000
0.000 0.500 0.500

No. 19
Sn2SbPb3, relaxed, DFT PBE; E_form (uncorrected) = 0.080 eV/atom; theoretical density = 8.8 g/cm³; Fermi-level density of states = 8.1 states/eV/cell; SG = Cmcm (63)
1.0
-0.511 0.761 -6.287
-5.108 -5.719 -0.277
-5.019 5.699 1.098
Sn Pb Sb
4 6 2
direct
0.000 0.709 0.709
0.000 0.291 0.291
0.500 0.291 0.291
0.500 0.709 0.709
0.750 0.590 0.080
0.750 0.064 0.936
0.750 0.920 0.410
0.250 0.410 0.920
0.250 0.080 0.590
0.250 0.936 0.064
0.750 0.347 0.653
0.250 0.653 0.347

No. 20
Li2BePt, relaxed, DFT PBE; theoretical density = 7.2 g/cm³; energy of formation from the pure elements = -0.491 eV per atom; Fermi-level density of states = 1.8 states/eV/cell; SG = I4/mmm (139)
1.0
-3.479 1.032 1.150
-1.118 0.274 -3.629
0.342 -7.358 1.335
Pt Li Be
2 4 2
direct
0.849 0.849 0.698
0.151 0.151 0.302
0.500 0.000 0.000
0.357 0.357 0.715
0.643 0.643 0.285
0.000 0.500 0.000
0.250 0.750 0.500
0.750 0.250 0.500